## RbCrSbI2 (PBE-GGA)

Data for a relaxed structure of RbCrSbI2.

Geometry as POSCAR:
```
RbCrSbI2
1.0
5.927 0.000 0.000
0.000 5.927 0.000
0.000 0.000 5.205
Rb Cr Sb I
1 1 1 2
direct
0.000 0.000 0.000
0.500 0.500 0.500
0.500 0.500 0.000
0.000 0.500 0.500
0.500 0.000 0.500
```

Summary:
Space-group type: P4/mmm
Total moment: 2.2 μB per formula unit
Crystal system: tetragonal
Final energy: -0.1430 Ha/atom